Entry 1:
Compound: SmDyMg2
Source: Alexandria via LeMat-Bulk
Functional: SCAN
Structure: single point on PBEsol structure

abc: 5.322 5.322 5.322
angles: 60.00 60.00 60.00
Fractional positions:
Dy: 0.500 0.500 0.500
Mg: 0.750 0.750 0.750
Mg: 0.250 0.250 0.250
Sm: 0.000 0.000 0.000

## Properties
- E_form (eV/atom) = -0.091

---

Entry 2:
Compound: Tl4Hg3
Source: Alexandria via LeMat-Bulk
Functional: SCAN
Structure: single point on PBEsol structure

abc: 5.864 5.864 6.264
angles: 90.00 90.00 120.00
Fractional positions:
Hg: 0.500 0.000 0.000
Hg: 0.500 0.500 0.000
Tl: 0.000 0.000 0.742
Tl: 0.333 0.667 0.500
Tl: 0.000 0.000 0.258
Hg: 0.000 0.500 0.000
Tl: 0.667 0.333 0.500

## Properties
- excess energy over the best structure of this formula in the dataset (meV per atom) = 14.6
- E_form (eV/atom) = 0.015

---

Entry 3:
Compound: KZr3Se
Source: Alexandria via LeMat-Bulk
Functional: SCAN
Structure: single point on PBEsol structure

abc: 4.809 4.809 4.809
angles: 90.00 90.00 90.00
Site moments in Bohr magnetons follow the coordinates.
Fractional positions:
Se: 0.500 0.500 0.500  -0.01
K: 0.000 0.000 0.000  0.16
Zr: 0.500 0.000 0.000  0.32
Zr: 0.000 0.000 0.500  0.32
Zr: 0.000 0.500 0.000  0.32

## Properties
- energy relative to the elements, uncorrected (eV/f.u.) = 9.56

---

Entry 4:
Compound: Li3MnV3O8
Source: Alexandria via LeMat-Bulk
Functional: SCAN
Structure: single point on PBEsol structure

abc: 5.792 5.671 5.671
angles: 120.00 119.28 90.00
Site moments in Bohr magnetons follow the coordinates.
Fractional positions:
O: 0.251 0.738 0.013  0.03
O: 0.737 0.746 0.491  0.00
V: 0.500 0.500 0.500  1.74
V: 0.500 0.000 0.500  1.74
Li: 0.000 0.000 0.500  0.00
O: 0.750 0.262 0.525  0.03
Li: 0.000 0.000 0.000  0.00
Mn: 0.000 0.500 0.000  3.12
O: 0.250 0.738 0.475  0.03
O: 0.749 0.725 0.987  0.03
V: 0.500 0.500 0.000  1.74
O: 0.251 0.275 0.013  0.03
O: 0.263 0.254 0.509  0.00
Li: 0.000 0.500 0.500  0.00
O: 0.749 0.262 0.987  0.03

## Properties
- excess energy over the best structure of this formula in the dataset (meV per atom) = 0.0
- energy relative to the elements, uncorrected (eV/f.u.) = -37.09

---

Entry 5:
Compound: LiLa2Sc
Source: Alexandria via LeMat-Bulk
Functional: SCAN
Structure: single point on PBEsol structure

abc: 3.461 3.461 11.298
angles: 81.19 81.19 60.00
Site moments in Bohr magnetons follow the coordinates.
Fractional positions:
La: 0.748 0.748 0.756  0.03
La: 0.252 0.252 0.244  0.03
Sc: 0.000 0.000 0.000  0.19
Li: 0.500 0.500 0.500  -0.01

## Properties
- excess energy over the best structure of this formula in the dataset (meV per atom) = 11.2
- E_form (eV/atom) = 0.089

---

Entry 6:
Compound: NaLaTcH2
Source: Alexandria via LeMat-Bulk
Functional: SCAN
Structure: single point on PBEsol structure

abc: 3.955 3.955 4.863
angles: 90.00 90.00 90.00
Fractional positions:
La: 0.500 0.500 0.500
Na: 0.000 0.000 0.500
H: 0.500 0.000 0.000
Tc: 0.000 0.000 0.000
H: 0.000 0.500 0.000

## Properties
- uncorrected energy (Ry per atom) = -1.25485

---

Question: Which formula does entry 4 have?
Answer: Li3MnV3O8